(1)
NaCa2Au4: optimized geometry, GGA-PBE.

Results
- Energy of formation: -0.610 eV per atom
- Magnetic moment: 0.0 μB/cell
- Crystal system: monoclinic
- Calculated volume: 162 Å³/f.u.

Structure (POSCAR):
```
NaCa2Au4
1.0
8.4204 0.0000 0.0000
0.0000 4.8136 0.0000
-2.8049 0.0000 7.9986
Na Ca Au
2 4 8
Cartesian
0.0000 0.0000 0.0000 Na
4.2102 2.4068 0.0000 Na
-1.4261 2.4068 5.7155 Ca
2.8313 0.0000 2.2831 Ca
2.7841 0.0000 5.7155 Ca
7.0415 2.4068 2.2831 Ca
-0.0067 0.0000 4.1792 Au
1.4302 2.4068 0.8281 Au
-0.0250 0.0000 7.1705 Au
1.4119 2.4068 3.8194 Au
4.2035 2.4068 4.1792 Au
5.6404 0.0000 0.8281 Au
4.1852 2.4068 7.1705 Au
5.6221 0.0000 3.8194 Au
```

(2)
KPmSb2Au2: optimized geometry, GGA-PBE.

Results
- ΔE_f (raw): -0.7175 eV/atom
- Magnetic moment: 0.0 μB/cell
- Crystal system: trigonal
- Calculated volume: 177 Å³/f.u.

Structure (POSCAR):
```
KPmSb2Au2
1.0
4.6866 0.0000 0.0000
-2.3433 4.0588 0.0000
0.0000 0.0000 9.2914
K Pm Sb Au
1 1 2 2
Cartesian
0.0000 0.0000 0.0000 K
0.0000 0.0000 4.6457 Pm
0.0000 2.7058 6.7784 Sb
2.3433 1.3529 2.5131 Sb
0.0000 2.7058 2.9137 Au
2.3433 1.3529 6.3778 Au
```

(3)
Ac2Ga4Au5: optimized geometry, GGA-PBE.

Results
- Energy of formation: -0.489 eV per atom
- Magnetic moment: 0.0 μB/cell
- Crystal system: orthorhombic
- Calculated volume: 247 Å³/f.u.

Structure (POSCAR):
```
Ac2Ga4Au5
1.0
-3.2090 3.9364 4.8876
3.2090 -3.9364 4.8876
3.2090 3.9364 -4.8876
Ac Ga Au
2 4 5
Cartesian
0.0000 1.9555 0.0000 Ac
0.0000 5.9173 0.0000 Ac
3.2090 2.3211 -1.3593 Ga
3.2090 2.3211 1.3593 Ga
0.0000 1.6153 3.5283 Ga
0.0000 1.6153 6.2469 Ga
3.2090 0.0000 0.0000 Au
1.7599 0.0000 2.4831 Au
4.6580 0.0000 2.4831 Au
-1.4490 3.9364 2.4045 Au
1.4490 3.9364 2.4045 Au
```

(4)
BaTe2IO: optimized geometry, GGA-PBE.

Results
- Energy above the most stable polymorph in this dataset: 0.0000 eV/atom
- ΔE_f (raw): -0.8006 eV/atom
- Magnetic moment: 0.0 μB/cell
- Crystal system: tetragonal
- Calculated volume: 150 Å³/f.u.

Structure (POSCAR):
```
BaTe2IO
1.0
4.7170 0.0000 0.0000
0.0000 4.7170 0.0000
0.0000 0.0000 6.7329
Ba Te I O
1 2 1 1
Cartesian
0.0000 0.0000 0.0000 Ba
0.0000 2.3585 3.3665 Te
2.3585 0.0000 3.3665 Te
2.3585 2.3585 0.0000 I
2.3585 2.3585 3.3665 O
```

Number 1: density of states at the Fermi level 0.30 states/eV per atom. Number 2: density of states at the Fermi level 0.30 states/eV per atom. Number 3: density of states at the Fermi level 0.57 states/eV per atom. Number 4: density of states at the Fermi level 0.64 states/eV per atom.